(1)
A plane-wave DFT calculation with GGA-PBE was carried out for a relaxed Sm2Y6Ho crystal.

Cell and atoms, written as extended XYZ:
```
18
Lattice="6.5772 -0.1049 -0.1016 1.6789 9.4516 -0.8297 1.6789 -0.5230 9.4735" Properties=species:S:1:pos:R:3 pbc="T T T"
Sm 2.9974 5.4661 5.7708
Sm 3.6489 2.9312 3.3168
Sm 6.9375 3.3576 2.7715
Sm 6.2860 5.8924 5.2254
Y 4.8784 5.9514 2.0224
Y 8.3452 6.5570 2.6087
Y 5.0566 2.8722 6.5198
Y 1.5898 2.2667 5.9336
Y 5.6515 0.2588 4.2255
Y 7.5721 4.5395 8.3697
Y 4.2835 8.5649 4.3167
Y 2.3629 4.2841 0.1725
Y 4.9577 6.8213 8.3575
Y 1.6887 0.3020 2.0461
Y 4.9773 2.0023 0.1848
Y 8.2463 8.5216 6.4962
Ho 3.3232 0.6276 8.2324
Ho 6.6118 8.1960 0.3098
```

- SG: C2/c, No. 15
- Offset from the most stable computed form: 34.5 meV per atom
- ρ: 5.63 Mg/m³


(2)
A plane-wave DFT calculation with GGA-PBE was carried out for a relaxed Sm5YHo5 crystal.

Cell and atoms, written as extended XYZ:
```
11
Lattice="-2.9934 5.0601 -1.5807 -1.4087 -2.8787 5.1762 7.8797 6.4522 5.7328" Properties=species:S:1:pos:R:3 pbc="T T T"
Sm -1.2472 3.4112 1.5576
Sm 4.1967 7.8688 5.5182
Sm 0.5603 1.8124 4.7407
Sm 3.4456 4.1749 6.8398
Sm 0.0000 0.0000 0.0000
Y -1.9369 -0.2324 2.9239
Ho 2.7044 4.4358 3.2029
Ho 2.0921 1.7131 1.5221
Ho 0.5085 5.5240 4.9965
Ho 1.2112 6.9600 2.4144
Ho 5.7877 4.7391 4.2107
```

- SG: P-6m2, No. 187
- ρ: 7.37 Mg/m³


(3)
A plane-wave DFT calculation with GGA-PBE was carried out for a relaxed SmYHo2 crystal.

Cell and atoms, written as extended XYZ:
```
8
Lattice="5.6611 0.0110 -0.0273 -0.0118 6.2977 0.0720 0.0351 -0.0828 7.2848" Properties=species:S:1:pos:R:3 pbc="T T T"
Sm 1.6345 2.8638 6.4907
Sm 4.4690 0.7651 6.4550
Y 1.6202 6.0259 4.6856
Y 4.4516 0.8178 2.7978
Ho 1.6169 2.9240 2.8373
Ho 1.6020 6.0683 1.0716
Ho 4.4545 3.9374 4.6448
Ho 4.4366 4.0002 1.0375
```

- SG: Pm, No. 6
- Offset from the most stable computed form: 0.0 meV per atom
- ρ: 7.28 Mg/m³


(4)
A plane-wave DFT calculation with GGA-PBE was carried out for a relaxed SmY3Ho5 crystal.

Cell and atoms, written as extended XYZ:
```
18
Lattice="6.9876 0.0000 0.0000 0.0000 9.7190 0.0000 0.0000 -4.8595 8.4169" Properties=species:S:1:pos:R:3 pbc="T T T"
Sm 0.0000 0.0000 0.0000
Sm 3.4938 0.0000 0.0000
Y 5.2407 1.7095 2.9619
Y 5.2407 6.5690 5.4549
Y 5.2407 6.2995 0.0000
Y 1.7469 3.1499 5.4549
Y 1.7469 -1.7095 2.9619
Y 1.7469 3.4195 0.0000
Ho 0.0000 4.8595 2.8052
Ho 3.4938 0.0000 5.6116
Ho 0.0000 0.0000 5.6116
Ho 3.4938 4.8595 2.8052
Ho 5.2407 3.3186 5.7480
Ho 5.2407 8.1781 2.6689
Ho 5.2407 3.0814 0.0000
Ho 1.7469 1.5409 2.6689
Ho 1.7469 -3.3186 5.7480
Ho 1.7469 6.6375 0.0000
```

- SG: P6_3/mcm, No. 193
- Offset from the most stable computed form: 0.0 meV per atom
- ρ: 7.21 Mg/m³


| no. | energy (eV/atom) | magnetization (μB/cell) | Fermi-level density of states (states/eV/f.u.) |
| --- | --- | --- | --- |
| 1 | -5.763 | 0.0 | 12.043 |
| 2 | -4.513 | 0.0 | 21.196 |
| 3 | -5.073 | 0.0 | 7.059 |
| 4 | -5.152 | 0.0 | 14.380 |